# PBE Rb2Ac2TiS6, relaxed
# E_form (uncorrected)	-1.635	eV per atom
# magnetic moment	0.0	μB/cell
data_Rb2Ac2TiS6
_cell_length_a 7.305
_cell_length_b 12.340
_cell_length_c 8.187
_cell_angle_alpha 90.00
_cell_angle_beta 106.89
_cell_angle_gamma 90.00
_space_group_name_H-M_alt 'C 1 2/m 1'
_space_group_IT_number 12
loop_
_space_group_symop_operation_xyz
'x,y,z'
'-x,-y,-z'
'-x,y,-z'
'x,-y,z'
'x+1/2,y+1/2,z'
'-x+1/2,-y+1/2,-z'
'-x+1/2,y+1/2,-z'
'x+1/2,-y+1/2,z'
loop_
_atom_site_label
_atom_site_type_symbol
_atom_site_fract_x
_atom_site_fract_y
_atom_site_fract_z
Rb1 Rb 0.000 0.168 0.000
Ac1 Ac 0.000 0.334 0.500
Ti1 Ti 0.000 0.000 0.500
S1 S 0.205 0.145 0.685
S2 S 0.218 0.000 0.316

# PBE NaTlGeSe2, relaxed
# E_form (uncorrected)	0.391	eV per atom
# magnetic moment	0.0	μB/cell
data_NaTlGeSe2
_cell_length_a 5.304
_cell_length_b 5.304
_cell_length_c 5.140
_cell_angle_alpha 90.00
_cell_angle_beta 90.00
_cell_angle_gamma 90.00
_space_group_name_H-M_alt 'P 4/m m m'
_space_group_IT_number 123
_space_group_name_Hall '-P 4 2'
loop_
_atom_site_label
_atom_site_type_symbol
_atom_site_fract_x
_atom_site_fract_y
_atom_site_fract_z
Na1 Na 0.000 0.000 0.000
Tl1 Tl 0.000 0.000 0.500
Ge1 Ge 0.500 0.500 0.500
Se1 Se 0.000 0.500 0.000